1.
Computed, not measured: a relaxed Cs12Au5F2 crystal at the PBE level of DFT.

Properties
DOS(E_F)   0.84 states/eV per atom
Size of the total moment   0.0 μB/f.u.
Raw total energy   -43.6 eV/cell
Formation energy (no corrections)   -16.04 kcal/mol of atoms
Space group   C2/m, No. 12
Crystal system   monoclinic

Lattice parameters (Å, degrees): 11.1047 11.1047 11.2478 104.62 104.62 49.58
Last column: nearest neighbours and their distance in Å.
Positions (direct):
Cs 0.0018 0.0018 0.1906  2 F 3.16
Cs 0.0796 0.5896 0.9120  1 F 3.20
Cs 0.1004 0.5981 0.4283  4 Au 3.73-3.81
Cs 0.4019 0.8996 0.5717  4 Au 3.73-3.81
Cs 0.4104 0.9204 0.0880  1 F 3.20
Cs 0.4953 0.4953 0.1801  2 F 3.11
Cs 0.5047 0.5047 0.8199  2 F 3.11
Cs 0.5896 0.0796 0.9120  1 F 3.20
Cs 0.5981 0.1004 0.4283  4 Au 3.73-3.81
Cs 0.8996 0.4019 0.5717  4 Au 3.73-3.81
Cs 0.9204 0.4104 0.0880  1 F 3.20
Cs 0.9982 0.9982 0.8094  2 F 3.16
Au 0.1840 0.1840 0.8464  7 Cs 3.65-3.78
Au 0.1935 0.1935 0.3448  7 Cs 3.60-3.81
Au 0.5000 0.5000 0.5000  6 Cs 3.57-3.73
Au 0.8065 0.8065 0.6552  7 Cs 3.60-3.81
Au 0.8160 0.8160 0.1536  7 Cs 3.65-3.78
F 0.2497 0.7503 0.0000  6 Cs 3.11-3.20
F 0.7503 0.2497 0.0000  6 Cs 3.11-3.20

***

2.
Computed, not measured: a relaxed Cs6Au2F crystal at the PBE level of DFT.

Properties
DOS(E_F)   0.62 states/eV per atom
Size of the total moment   0.0 μB/f.u.
Raw total energy   -39.9 eV/cell
Energy above the lowest structure with this stoichiometry   0 meV/atom
Formation energy (no corrections)   -16.36 kcal/mol of atoms
Space group   P2_1/c, No. 14
Crystal system   monoclinic

Lattice parameters (Å, degrees): 8.4581 9.6330 14.4848 90.00 124.41 90.00
Last column: nearest neighbours and their distance in Å.
Positions (direct):
Cs 0.1084 0.0356 0.2370  1 F 3.03
Cs 0.1084 0.4644 0.7370  1 F 3.03
Cs 0.2170 0.6951 0.0640  1 F 3.31
Cs 0.2170 0.8049 0.5640  1 F 3.31
Cs 0.3598 0.1528 0.0594  1 F 3.03
Cs 0.3598 0.3472 0.5594  1 F 3.03
Cs 0.6402 0.6528 0.4406  1 F 3.03
Cs 0.6402 0.8472 0.9406  1 F 3.03
Cs 0.7830 0.1951 0.4360  1 F 3.31
Cs 0.7830 0.3049 0.9360  1 F 3.31
Cs 0.8916 0.5356 0.2630  1 F 3.03
Cs 0.8916 0.9644 0.7630  1 F 3.03
Au 0.2979 0.1145 0.7509  6 Cs 3.68-3.87
Au 0.2979 0.3855 0.2509  6 Cs 3.68-3.87
Au 0.7021 0.6145 0.7491  6 Cs 3.68-3.87
Au 0.7021 0.8855 0.2491  6 Cs 3.68-3.87
F 0.0000 0.0000 0.0000  6 Cs 3.03-3.31
F 0.0000 0.5000 0.5000  6 Cs 3.03-3.31

***

3.
Computed, not measured: a relaxed Cs3Au2F crystal at the PBE level of DFT.

Properties
Size of the total moment   0.0 μB/f.u.
Raw total energy   -34.8 eV/cell
Energy above the lowest structure with this stoichiometry   17 meV/atom
Formation energy (no corrections)   -24.58 kcal/mol of atoms
Space group   Cmcm, No. 63
Crystal system   orthorhombic

Lattice parameters (Å, degrees): 7.9811 7.9811 7.9133 90.00 90.00 78.79
Last column: nearest neighbours and their distance in Å.
Positions (direct):
Cs 0.1452 0.8548 0.7500  1 F 2.81
Cs 0.3364 0.3364 0.0000  2 F 2.93
Cs 0.3364 0.3364 0.5000  2 F 2.93
Cs 0.6636 0.6636 0.0000  2 F 2.93
Cs 0.6636 0.6636 0.5000  2 F 2.93
Cs 0.8548 0.1452 0.2500  1 F 2.81
Au 0.0665 0.6939 0.2500  1 Au 2.96
Au 0.3061 0.9335 0.2500  1 Au 2.96
Au 0.6939 0.0665 0.7500  1 Au 2.96
Au 0.9335 0.3061 0.7500  1 Au 2.96
F 0.4223 0.5777 0.7500  5 Cs 2.81-2.93
F 0.5777 0.4223 0.2500  5 Cs 2.81-2.93

***

4.
Computed, not measured: a relaxed Cs6Au3F14 crystal at the PBE level of DFT.

Properties
DOS(E_F)   0.88 states/eV per atom
Size of the total moment   3.3 μB/f.u.
Raw total energy   -83.5 eV/cell
Formation energy (no corrections)   -42.44 kcal/mol of atoms
Space group   P3, No. 143
Crystal system   trigonal

Lattice parameters (Å, degrees): 10.2717 10.2717 6.7068 90.00 90.00 120.00
Last column: nearest neighbours and their distance in Å.
Positions (direct):
Cs 0.0294 0.4481 0.0000  6 F 2.96-3.18
Cs 0.2694 0.2381 0.4678  7 F 2.96-3.29
Cs 0.4187 0.9706 0.0000  6 F 2.96-3.18
Cs 0.5519 0.5813 0.0000  6 F 2.96-3.18
Cs 0.7619 0.0313 0.4678  7 F 2.96-3.29
Cs 0.9687 0.7306 0.4678  7 F 2.96-3.29
Au 0.0000 0.0000 0.9920  4 F 2.10-2.21
Au 0.3333 0.6667 0.5395  4 F 2.09-2.20
Au 0.6667 0.3333 0.6275  6 F 2.07
F 0.0000 0.0000 0.6788  1 Au 2.10
F 0.0243 0.1839 0.1883  1 Au 2.21
F 0.1596 0.9757 0.1883  1 Au 2.21
F 0.2001 0.7260 0.7385  1 Au 2.20
F 0.2740 0.4741 0.7385  1 Au 2.20
F 0.3333 0.6667 0.2276  1 Au 2.09
F 0.4825 0.2757 0.8084  1 Au 2.07
F 0.5259 0.7999 0.7385  1 Au 2.20
F 0.5350 0.1484 0.4508  1 Au 2.07
F 0.6134 0.4650 0.4508  1 Au 2.07
F 0.7243 0.2067 0.8084  1 Au 2.07
F 0.7933 0.5175 0.8084  1 Au 2.07
F 0.8161 0.8404 0.1883  1 Au 2.21
F 0.8516 0.3866 0.4508  1 Au 2.07

***

5.
Computed, not measured: a relaxed Cs3AuF7 crystal at the PBE level of DFT.

Properties
DOS(E_F)   0.29 states/eV per atom
Size of the total moment   1.1 μB/f.u.
Raw total energy   -82.3 eV/cell
Formation energy (no corrections)   -46.55 kcal/mol of atoms
Space group   P4/mbm, No. 127
Crystal system   tetragonal

Lattice parameters (Å, degrees): 8.5861 8.5861 6.6328 90.00 90.00 90.00
Last column: nearest neighbours and their distance in Å.
Positions (direct):
Cs 0.0000 0.0000 0.0000  6 F 3.22-3.32
Cs 0.1879 0.3121 0.5000  8 F 2.96-3.24
Cs 0.3121 0.8121 0.5000  8 F 2.96-3.24
Cs 0.5000 0.5000 0.0000  6 F 3.22-3.32
Cs 0.6879 0.1879 0.5000  8 F 2.96-3.24
Cs 0.8121 0.6879 0.5000  8 F 2.96-3.24
Au 0.0000 0.5000 0.0000  6 F 1.95-2.09
Au 0.5000 0.0000 0.0000  6 F 1.95-2.09
F 0.0000 0.0000 0.5000  6 Cs 3.13-3.32
F 0.1186 0.6186 0.2293  1 Au 2.09
F 0.1186 0.6186 0.7707  1 Au 2.09
F 0.1607 0.3393 0.0000  1 Au 1.95
F 0.3393 0.8393 0.0000  1 Au 1.95
F 0.3814 0.1186 0.2293  1 Au 2.09
F 0.3814 0.1186 0.7707  1 Au 2.09
F 0.5000 0.5000 0.5000  6 Cs 3.13-3.32
F 0.6186 0.8814 0.2293  1 Au 2.09
F 0.6186 0.8814 0.7707  1 Au 2.09
F 0.6607 0.1607 0.0000  1 Au 1.95
F 0.8393 0.6607 0.0000  1 Au 1.95
F 0.8814 0.3814 0.2293  1 Au 2.09
F 0.8814 0.3814 0.7707  1 Au 2.09

***

6.
Computed, not measured: a relaxed Cs3AuF crystal at the PBE level of DFT.

Properties
DOS(E_F)   0.53 states/eV per atom
Size of the total moment   0.0 μB/f.u.
Raw total energy   -26.8 eV/cell
Energy above the lowest structure with this stoichiometry   5 meV/atom
Formation energy (no corrections)   -26.28 kcal/mol of atoms
Space group   C2/m, No. 12
Crystal system   monoclinic

Lattice parameters (Å, degrees): 10.0839 10.0839 5.1379 91.27 91.27 72.32
Last column: nearest neighbours and their distance in Å.
Positions (direct):
Cs 0.1046 0.1046 0.2745  2 F 2.87
Cs 0.1857 0.5626 0.2894  1 F 2.87
Cs 0.4374 0.8143 0.7106  1 F 2.87
Cs 0.5626 0.1857 0.2894  1 F 2.87
Cs 0.8143 0.4374 0.7106  1 F 2.87
Cs 0.8954 0.8954 0.7255  2 F 2.87
Au 0.2624 0.2624 0.7701  6 Cs 3.57-3.90
Au 0.7376 0.7376 0.2299  6 Cs 3.57-3.90
F 0.1660 0.8340 0.5000  4 Cs 2.87
F 0.8340 0.1660 0.5000  4 Cs 2.87

***

Among the records above, which one has the lowest formation energy (no corrections)?
Cs3AuF7